# 1
Compound: Cs3Si2H8
Source: Alexandria
Functional: PBE-GGA
Structure: optimized geometry

Geometry as CIF:
```
data_Cs3Si2H8
_space_group_name_H-M_alt 'R -3 m'
_space_group_IT_number 166
_space_group_name_Hall '-R 3 2"'
_cell_length_a 6.5949
_cell_length_b 6.5949
_cell_length_c 20.8045
_cell_angle_alpha 90.00
_cell_angle_beta 90.00
_cell_angle_gamma 120.00
loop_
_atom_site_label
_atom_site_type_symbol
_atom_site_fract_x
_atom_site_fract_y
_atom_site_fract_z
_atom_site_occupancy
Cs1 Cs 0.0000 0.0000 0.0000 1
Cs2 Cs 0.0000 0.0000 0.2228 1
Si1 Si 0.0000 0.0000 0.4413 1
H1 H 0.0000 0.0000 0.3658 1
H2 H 0.0486 0.5243 0.2262 1
```

Summary:
Calculated total energy = -120.035 eV per cell

# 2
Compound: CsSi2H6
Source: Alexandria
Functional: PBE-GGA
Structure: optimized geometry

Geometry as CIF:
```
data_CsSi2H6
_space_group_name_H-M_alt 'C 1 2/c 1'
_space_group_IT_number 15
_cell_length_a 9.663
_cell_length_b 12.688
_cell_length_c 6.018
_cell_angle_alpha 90.00
_cell_angle_beta 128.36
_cell_angle_gamma 90.00
loop_
_space_group_symop_operation_xyz
'x,y,z'
'-x,-y,-z'
'-x,y,-z+1/2'
'x,-y,z+1/2'
'x+1/2,y+1/2,z'
'-x+1/2,-y+1/2,-z'
'-x+1/2,y+1/2,-z+1/2'
'x+1/2,-y+1/2,z+1/2'
loop_
_atom_site_label
_atom_site_type_symbol
_atom_site_fract_x
_atom_site_fract_y
_atom_site_fract_z
_atom_site_occupancy
Cs1 Cs 0.000 0.157 0.250 1
Si1 Si 0.114 0.434 0.698 1
H1 H 0.114 0.368 0.485 1
H2 H 0.207 0.347 0.931 1
H3 H 0.221 0.001 0.187 1
```

Summary:
Calculated total energy = -127.830 eV per cell

# 3
Compound: Cs3SiH7
Source: Alexandria
Functional: PBE-GGA
Structure: optimized geometry

Geometry as CIF:
```
data_Cs3SiH7
_space_group_name_H-M_alt 'C 1 2/m 1'
_space_group_IT_number 12
_cell_length_a 8.259
_cell_length_b 8.271
_cell_length_c 5.839
_cell_angle_alpha 90.00
_cell_angle_beta 90.22
_cell_angle_gamma 90.00
loop_
_space_group_symop_operation_xyz
'x,y,z'
'-x,-y,-z'
'-x,y,-z'
'x,-y,z'
'x+1/2,y+1/2,z'
'-x+1/2,-y+1/2,-z'
'-x+1/2,y+1/2,-z'
'x+1/2,-y+1/2,z'
loop_
_atom_site_label
_atom_site_type_symbol
_atom_site_fract_x
_atom_site_fract_y
_atom_site_fract_z
_atom_site_occupancy
Cs1 Cs 0.000 0.000 0.000 1
Cs2 Cs 0.250 0.250 0.500 1
Si1 Si 0.000 0.500 0.000 1
H1 H 0.000 0.000 0.500 1
H2 H 0.005 0.500 0.722 1
H3 H 0.139 0.361 0.006 1
```

Summary:
Calculated total energy = -66.228 eV per cell

Q: Which of these has the highest calculated total energy?
A: Cs3SiH7

Q: What is the calculated total energy in the first record?
A: -120.035 eV per cell